Record 1
TaRu2Br | PBE | optimized geometry

Cell and atoms, written as extended XYZ:
```
4
Lattice="-2.847 -2.204 3.777 -3.250 -3.885 1.254 3.282 -2.675 1.258" Properties=species:S:1:pos:R:3 pbc="T T T"
Ru 2.942 -2.752 1.363
Ru -2.095 -6.692 4.794
Ta -1.116 -4.251 3.011
Br -0.669 -2.126 1.524
```

Output
The value obtained for the density of states at the Fermi level is 2.5 states/eV per cell. As for the formation energy from raw total energies: 432.5 meV per atom.

Record 2
TaRu2Br | PBE | optimized geometry

Cell and atoms, written as extended XYZ:
```
4
Lattice="-0.130 0.081 -5.194 1.082 -4.429 -2.492 -3.089 1.505 3.897" Properties=species:S:1:pos:R:3 pbc="T T T"
Ru 0.000 0.000 0.000
Ru -0.766 -2.549 -1.218
Br -1.371 -0.294 -2.569
Ta 0.476 -2.174 -3.843
```

Output
The value obtained for the density of states at the Fermi level is 4.1 states/eV per cell. As for the formation energy from raw total energies: 704.1 meV per atom.

Record 3
TaRu3Br | PBE | optimized geometry

Cell and atoms, written as extended XYZ:
```
5
Lattice="4.497 0.000 0.000 0.000 4.497 0.000 0.000 0.000 4.497" Properties=species:S:1:pos:R:3 pbc="T T T"
Br 0.000 0.000 0.000
Ru 0.000 0.000 2.249
Ru 0.000 2.249 0.000
Ru 2.249 0.000 0.000
Ta 2.249 2.249 2.249
```

Output
The value obtained for the density of states at the Fermi level is 6.2 states/eV per cell. As for the formation energy from raw total energies: 1534.8 meV per atom.

Record 4
Ta2RuBr | PBE | optimized geometry

Cell and atoms, written as extended XYZ:
```
4
Lattice="-6.720 0.104 6.175 -7.777 -2.166 4.257 -5.701 -2.860 6.528" Properties=species:S:1:pos:R:3 pbc="T T T"
Ru -14.880 -3.627 12.494
Ta -0.095 -0.023 0.080
Ta -5.029 -1.226 4.222
Br -10.293 -2.509 8.643
```

Output
The value obtained for the density of states at the Fermi level is 1.5 states/eV per cell. As for the formation energy from raw total energies: 84.8 meV per atom.

Record 5
TaRuBr | PBE | optimized geometry

Cell and atoms, written as extended XYZ:
```
3
Lattice="4.410 0.000 0.000 -2.205 3.819 0.000 0.000 0.000 3.022" Properties=species:S:1:pos:R:3 pbc="T T T"
Ru 0.000 2.546 0.835
Br 0.000 0.000 2.801
Ta 2.205 1.273 2.408
```

Output
The value obtained for the density of states at the Fermi level is 1.7 states/eV per cell. As for the formation energy from raw total energies: 479.6 meV per atom.

Record 6
TaRu2Br | PBE | optimized geometry

Cell and atoms, written as extended XYZ:
```
4
Lattice="4.928 0.001 0.003 -2.355 4.669 -0.003 0.218 0.942 2.811" Properties=species:S:1:pos:R:3 pbc="T T T"
Br 1.287 2.335 0.000
Ta -1.068 2.806 1.404
Ru 0.000 0.000 0.000
Ru 2.573 0.471 1.407
```

Output
The value obtained for the density of states at the Fermi level is 3.7 states/eV per cell. As for the formation energy from raw total energies: 610.9 meV per atom.

Record 7
Ta2RuBr | PBE | optimized geometry

Cell and atoms, written as extended XYZ:
```
4
Lattice="-4.557 0.806 0.056 -2.870 -2.776 -2.339 -2.828 -2.861 2.288" Properties=species:S:1:pos:R:3 pbc="T T T"
Ru -7.691 -3.623 0.003
Br -5.127 -2.415 0.002
Ta -2.564 -1.208 0.001
Ta 0.000 0.000 0.000
```

Output
The value obtained for the density of states at the Fermi level is 3.7 states/eV per cell. As for the formation energy from raw total energies: 864.6 meV per atom.

Record 8
Ta2RuBr | PBE | optimized geometry

Cell and atoms, written as extended XYZ:
```
4
Lattice="-2.635 -2.664 2.578 1.826 -3.175 -1.415 2.629 0.215 2.909" Properties=species:S:1:pos:R:3 pbc="T T T"
Ta 2.227 -1.480 0.747
Ta 0.000 0.000 0.000
Ru -0.003 -1.224 2.743
Br -0.405 -2.919 0.582
```

Output
The value obtained for the density of states at the Fermi level is 4.0 states/eV per cell. As for the formation energy from raw total energies: 816.6 meV per atom.

Record 9
Ta2RuBr | PBE | optimized geometry

Cell and atoms, written as extended XYZ:
```
4
Lattice="-0.838 0.259 -4.029 -1.591 -2.537 0.168 -5.518 1.568 1.248" Properties=species:S:1:pos:R:3 pbc="T T T"
Ta -5.449 1.463 1.227
Ta -3.624 -0.378 0.729
Ru -5.751 -0.597 -0.953
Br -2.196 -0.113 -1.661
```

Output
The value obtained for the density of states at the Fermi level is 2.9 states/eV per cell. As for the formation energy from raw total energies: 372.9 meV per atom.

Record 10
TaRuBr2 | PBE | optimized geometry

Cell and atoms, written as extended XYZ:
```
4
Lattice="-4.489 -0.009 -0.616 0.303 -2.770 -2.170 -0.513 -2.973 3.781" Properties=species:S:1:pos:R:3 pbc="T T T"
Br -0.101 -2.898 0.779
Br 0.300 -2.743 -2.143
Ru -2.297 -1.440 0.095
Ta -2.401 -4.312 0.900
```

Output
The value obtained for the density of states at the Fermi level is 4.3 states/eV per cell. As for the formation energy from raw total energies: 768.2 meV per atom.

Record 11
Ta2RuBr | PBE | optimized geometry

Cell and atoms, written as extended XYZ:
```
4
Lattice="3.177 0.000 0.000 0.000 3.177 0.000 0.000 0.000 7.376" Properties=species:S:1:pos:R:3 pbc="T T T"
Br 0.000 0.000 3.556
Ta 1.589 1.589 1.732
Ta 0.000 0.000 7.230
Ru 1.589 1.589 5.921
```

Output
The value obtained for the density of states at the Fermi level is 2.6 states/eV per cell. As for the formation energy from raw total energies: 117.6 meV per atom.

Record 12
Ta2RuBr | PBE | optimized geometry

Cell and atoms, written as extended XYZ:
```
4
Lattice="4.021 -0.006 0.049 2.201 3.365 0.049 3.117 1.683 6.739" Properties=species:S:1:pos:R:3 pbc="T T T"
Ta 4.307 2.326 2.805
Ta 0.362 0.195 0.613
Ru 2.335 1.260 1.709
Br 7.004 3.781 5.128
```

Output
The value obtained for the density of states at the Fermi level is 1.4 states/eV per cell. As for the formation energy from raw total energies: 218.1 meV per atom.

Record 13
Ta2RuBr | PBE | optimized geometry

Cell and atoms, written as extended XYZ:
```
4
Lattice="5.526 0.006 -0.002 2.683 4.831 0.002 -3.528 -3.397 2.560" Properties=species:S:1:pos:R:3 pbc="T T T"
Ta 2.907 -0.571 1.279
Ta 0.142 0.084 0.000
Ru 1.661 1.945 1.281
Br 4.075 2.401 0.000
```

Output
The value obtained for the density of states at the Fermi level is 3.7 states/eV per cell. As for the formation energy from raw total energies: 414.2 meV per atom.

Record 14
TaRu2Br | PBE | optimized geometry

Cell and atoms, written as extended XYZ:
```
4
Lattice="-0.235 -0.141 4.771 -4.353 -1.749 0.912 3.383 -1.779 -2.868" Properties=species:S:1:pos:R:3 pbc="T T T"
Ta -1.632 -2.236 0.443
Ru -2.294 -0.945 2.842
Ru 0.000 0.000 0.000
Br 0.427 -1.433 2.372
```

Output
The value obtained for the density of states at the Fermi level is 4.3 states/eV per cell. As for the formation energy from raw total energies: 683.0 meV per atom.

Record 15
TaRuBr2 | PBE | optimized geometry

Cell and atoms, written as extended XYZ:
```
4
Lattice="7.583 0.375 -0.006 4.727 5.942 0.006 -5.589 -4.262 2.872" Properties=species:S:1:pos:R:3 pbc="T T T"
Br 1.046 0.537 0.000
Br 4.919 0.069 1.433
Ru 4.392 2.254 0.000
Ta 2.520 2.354 1.439
```

Output
The value obtained for the density of states at the Fermi level is 1.8 states/eV per cell. As for the formation energy from raw total energies: 290.7 meV per atom.

Record 16
TaRuBr2 | PBE | optimized geometry

Cell and atoms, written as extended XYZ:
```
4
Lattice="-3.195 0.381 -0.636 1.620 -2.846 -0.175 -1.920 -1.627 8.677" Properties=species:S:1:pos:R:3 pbc="T T T"
Br -0.969 -0.821 4.378
Br -1.912 -1.620 8.638
Ru -1.267 -1.640 1.764
Ta -2.228 -2.453 6.102
```

Output
The value obtained for the density of states at the Fermi level is 4.3 states/eV per cell. As for the formation energy from raw total energies: 811.9 meV per atom.

Record 17
TaRuBr | PBE | optimized geometry

Cell and atoms, written as extended XYZ:
```
3
Lattice="4.382 0.000 0.000 2.191 3.795 0.000 2.191 1.265 3.578" Properties=species:S:1:pos:R:3 pbc="T T T"
Br 0.000 0.000 0.000
Ru 4.382 2.530 1.789
Ta 2.191 1.265 0.895
```

Output
The value obtained for the density of states at the Fermi level is 2.3 states/eV per cell. As for the formation energy from raw total energies: 754.7 meV per atom.

Record 18
TaRu2Br | PBE | optimized geometry

Cell and atoms, written as extended XYZ:
```
4
Lattice="5.382 0.007 -0.001 2.649 4.685 0.001 -3.515 -3.204 2.520" Properties=species:S:1:pos:R:3 pbc="T T T"
Ta 3.905 2.281 0.000
Ru 2.932 -0.431 1.260
Ru 0.145 0.084 0.000
Br 1.551 1.900 1.261
```

Output
The value obtained for the density of states at the Fermi level is 2.4 states/eV per cell. As for the formation energy from raw total energies: 500.9 meV per atom.

Record 19
TaRuBr2 | PBE | optimized geometry

Cell and atoms, written as extended XYZ:
```
4
Lattice="-0.241 -2.774 1.575 3.049 -1.038 -1.361 5.503 2.953 6.046" Properties=species:S:1:pos:R:3 pbc="T T T"
Ta 6.583 -0.373 3.601
Br 7.699 1.866 4.468
Br 2.293 -0.553 2.627
Ru 4.564 1.074 2.591
```

Output
The value obtained for the density of states at the Fermi level is 2.4 states/eV per cell. As for the formation energy from raw total energies: -197.8 meV per atom.

Record 20
TaRu2Br | PBE | optimized geometry

Cell and atoms, written as extended XYZ:
```
4
Lattice="3.089 0.000 0.000 0.000 3.236 -0.204 0.000 0.461 7.348" Properties=species:S:1:pos:R:3 pbc="T T T"
Ru 0.000 2.634 3.140
Ru 0.000 2.450 0.228
Ta 1.544 0.924 1.786
Br 1.544 2.773 5.357
```

Output
The value obtained for the density of states at the Fermi level is 3.3 states/eV per cell. As for the formation energy from raw total energies: 62.2 meV per atom.